DFT (PBE) results for crystalline CaLa2PmPr5 at its relaxed geometry.

Unit cell a=11.678 b=11.678 c=10.540 alpha=90.00 beta=90.00 gamma=151.98
Sites, in units of the cell vectors:
1 Ca 0.102 0.898 0.750
2 Ca 0.898 0.102 0.250
3 La 0.383 0.617 0.517
4 La 0.383 0.617 0.983
5 La 0.617 0.383 0.017
6 La 0.617 0.383 0.483
7 Pm 0.277 0.723 0.250
8 Pm 0.723 0.277 0.750
9 Pr 0.000 0.000 0.000
10 Pr 0.000 0.000 0.500
11 Pr 0.116 0.884 0.250
12 Pr 0.222 0.778 0.558
13 Pr 0.222 0.778 0.942
14 Pr 0.499 0.501 0.750
15 Pr 0.501 0.499 0.250
16 Pr 0.778 0.222 0.058
17 Pr 0.778 0.222 0.442
18 Pr 0.884 0.116 0.750

***

DFT (PBE) results for crystalline CaLaPm2Pr5 at its relaxed geometry.

Unit cell a=11.493 b=11.493 c=10.692 alpha=90.00 beta=90.00 gamma=151.82
Sites, in units of the cell vectors:
1 Ca 0.101 0.899 0.500
2 Ca 0.899 0.101 0.000
3 La 0.277 0.723 0.001
4 La 0.723 0.277 0.501
5 Pm 0.384 0.616 0.735
6 Pm 0.385 0.615 0.265
7 Pm 0.615 0.385 0.765
8 Pm 0.616 0.384 0.235
9 Pr 0.000 0.000 0.250
10 Pr 0.000 0.000 0.750
11 Pr 0.116 0.884 0.000
12 Pr 0.221 0.779 0.304
13 Pr 0.221 0.779 0.697
14 Pr 0.499 0.501 0.500
15 Pr 0.501 0.499 0.000
16 Pr 0.779 0.221 0.197
17 Pr 0.779 0.221 0.804
18 Pr 0.884 0.116 0.500

***

DFT (PBE) results for crystalline CaLa3Pm6Pr2 at its relaxed geometry.

Unit cell a=6.415 b=6.415 c=12.252 alpha=95.04 beta=95.04 gamma=120.07
Sites, in units of the cell vectors:
1 Ca 0.000 0.000 0.000
2 La 0.166 0.834 0.500
3 La 0.500 0.500 0.500
4 La 0.834 0.166 0.500
5 Pm 0.084 0.422 0.251
6 Pm 0.254 0.254 0.749
7 Pm 0.422 0.084 0.251
8 Pm 0.578 0.916 0.749
9 Pm 0.746 0.746 0.251
10 Pm 0.916 0.578 0.749
11 Pr 0.333 0.667 0.000
12 Pr 0.667 0.333 0.000

***

DFT (PBE) results for crystalline CaLa2Pm3Pr6 at its relaxed geometry.

Unit cell a=6.445 b=6.445 c=12.281 alpha=95.04 beta=95.04 gamma=120.04
Sites, in units of the cell vectors:
1 Ca 0.000 0.000 0.000
2 La 0.333 0.667 0.000
3 La 0.667 0.333 0.000
4 Pm 0.166 0.834 0.500
5 Pm 0.500 0.500 0.500
6 Pm 0.834 0.166 0.500
7 Pr 0.085 0.424 0.255
8 Pr 0.252 0.252 0.745
9 Pr 0.424 0.085 0.255
10 Pr 0.576 0.915 0.745
11 Pr 0.748 0.748 0.255
12 Pr 0.915 0.576 0.745

***

These records have formation enthalpy at 0 K values of 0.139, 0.151, 0.032, 0.026 eV per atom, in the order they appear.
These records have magnetic moment values of 0.0, 0.0, 0.0, 0.0 μB per formula unit, in the order they appear.